# GGA-PBE LiTh4B3Rh12, relaxed
data_LiTh4B3Rh12
_cell_length_a 8.6023
_cell_length_b 8.6023
_cell_length_c 8.6023
_cell_angle_alpha 90.00
_cell_angle_beta 90.00
_cell_angle_gamma 90.00
_symmetry_space_group_name_H-M 'I m -3 m'
_symmetry_Int_Tables_number 229
_symmetry_space_group_name_Hall '-I 4 2 3'
loop_
_atom_site_label
_atom_site_fract_x
_atom_site_fract_y
_atom_site_fract_z
Li1 0.0000 0.0000 0.0000
Th1 0.2500 0.2500 0.2500
B1 0.0000 0.0000 0.5000
Rh1 0.0000 0.0000 0.2627
Rh2 0.0000 0.2500 0.5000
# DFT formation energy	-16.1	eV/f.u.
# DOS at the Fermi energy	0.90	states/eV/atom